(1)
TmMg5Tl6 | the Alexandria database | PBE | optimized geometry; ΔH_f (0 K) = -0.09 eV per atom; crystal system = orthorhombic; density = 8420 kg/m3; uncorrected energy = -27.7 eV/cell
1.0
2.584 -7.911 0.000
2.584 7.911 0.000
0.000 0.000 7.316
Tm Mg Tl
1 5 6
Cartesian
0.000 0.000 0.000 Tm
0.000 0.000 3.658 Mg
2.584 2.745 3.658 Mg
2.584 2.577 0.000 Mg
2.584 -2.577 0.000 Mg
2.584 -2.745 3.658 Mg
2.584 5.267 1.835 Tl
2.584 5.267 5.481 Tl
2.584 0.000 1.945 Tl
2.584 0.000 5.371 Tl
2.584 -5.267 1.835 Tl
2.584 -5.267 5.481 Tl

(2)
Tm3MgTl | the Alexandria database | PBE | optimized geometry; ΔH_f (0 K) = -0.17 eV per atom; crystal system = orthorhombic; E above lowest polymorph = 0.000 eV per atom; density = 9025 kg/m3; uncorrected energy = -36.4 eV/cell
1.0
2.492 -10.899 0.000
2.492 10.899 0.000
0.000 0.000 4.983
Tm Mg Tl
6 2 2
Cartesian
2.492 9.738 3.737 Tm
2.492 5.455 3.737 Tm
2.492 1.237 3.737 Tm
2.492 -1.237 1.246 Tm
2.492 -5.455 1.246 Tm
2.492 -9.738 1.246 Tm
2.492 7.585 1.246 Mg
2.492 -7.585 3.737 Mg
2.492 3.374 1.246 Tl
2.492 -3.374 3.737 Tl

(3)
Tm5Mg2Tl4 | the Alexandria database | PBE | optimized geometry; ΔH_f (0 K) = -0.08 eV per atom; crystal system = monoclinic; density = 9249 kg/m3; uncorrected energy = -35.9 eV/cell
1.0
10.902 -1.798 0.000
10.902 1.798 0.000
-3.312 0.000 7.833
Tm Mg Tl
5 2 4
Cartesian
0.000 0.000 0.000 Tm
5.385 0.000 4.964 Tm
7.320 0.000 0.412 Tm
11.172 0.000 7.421 Tm
13.108 0.000 2.869 Tm
-0.157 0.000 4.551 Mg
18.649 0.000 3.282 Mg
2.410 0.000 5.643 Tl
9.931 0.000 2.307 Tl
8.561 0.000 5.526 Tl
16.082 0.000 2.190 Tl